# PBE Rb4Pm3NpTe8, relaxed
# crystal system: trigonal
# calculated volume: 1901 Å³ per cell
# ΔE_f (raw): -1.270 eV/atom
data_Rb4Pm3NpTe8
_cell_length_a 9.2558
_cell_length_b 9.2558
_cell_length_c 25.6288
_cell_angle_alpha 90.00
_cell_angle_beta 90.00
_cell_angle_gamma 120.00
_space_group_name_H-M_alt 'R -3 m'
_space_group_IT_number 166
_space_group_name_Hall '-R 3 2"'
loop_
_atom_site_label
_atom_site_type_symbol
_atom_site_fract_x
_atom_site_fract_y
_atom_site_fract_z
Rb1 Rb 0.0000 0.0000 0.0000
Rb2 Rb 0.0000 0.5000 0.0000
Pm1 Pm 0.0000 0.5000 0.5000
Np1 Np 0.0000 0.0000 0.5000
Te1 Te 0.0000 0.0000 0.2348
Te2 Te 0.0009 0.5005 0.2341